Density functional theory data (GGA-PBE) for an optimized crystal structure of VCuS2.

Summary:
E = -5.221 eV per atom
DOS at the Fermi energy = 3.0 states/eV/f.u.
formation energy from raw total energies = 146 meV per atom
space-group type = R-3m (166)

Geometry as extended XYZ:
```
12
Lattice="3.433 0.000 0.000 -1.717 2.973 0.000 0.000 0.000 21.503" Properties=species:S:1:pos:R:3 pbc="T T T"
V 0.000 0.000 0.000
V 0.000 1.982 14.336
V 1.717 0.991 7.168
Cu 0.000 0.000 10.752
Cu 0.000 1.982 3.584
Cu 1.717 0.991 17.919
S 0.000 0.000 2.237
S 0.000 0.000 19.266
S 0.000 1.982 12.098
S 0.000 1.982 16.573
S 1.717 0.991 4.931
S 1.717 0.991 9.405
```



Density functional theory data (GGA-PBE) for an optimized crystal structure of V2CuS4.

Summary:
E = -5.596 eV per atom
DOS at the Fermi energy = 3.0 states/eV/f.u.
formation energy from raw total energies = -47 meV per atom
space-group type = I4/mmm (139)

Geometry as extended XYZ:
```
14
Lattice="4.592 0.000 0.000 0.000 4.592 0.000 0.000 0.000 12.398" Properties=species:S:1:pos:R:3 pbc="T T T"
V 0.000 0.000 1.344
V 0.000 0.000 11.054
V 2.296 2.296 4.855
V 2.296 2.296 7.542
Cu 0.000 0.000 6.199
Cu 2.296 2.296 0.000
S 0.000 0.000 3.445
S 0.000 0.000 8.953
S 0.000 2.296 0.000
S 0.000 2.296 6.199
S 2.296 0.000 0.000
S 2.296 0.000 6.199
S 2.296 2.296 2.754
S 2.296 2.296 9.643
```



Density functional theory data (GGA-PBE) for an optimized crystal structure of VCu2S4.

Summary:
E = -4.815 eV per atom
excess energy over the best structure of this formula in the dataset = 523 meV per atom
DOS at the Fermi energy = 7.1 states/eV/f.u.
formation energy from raw total energies = 17 meV per atom
space-group type = I4/mmm (139)

Geometry as extended XYZ:
```
14
Lattice="4.733 0.000 0.000 0.000 4.733 0.000 0.000 0.000 11.219" Properties=species:S:1:pos:R:3 pbc="T T T"
V 0.000 0.000 0.000
V 2.366 2.366 5.609
Cu 0.000 0.000 4.416
Cu 0.000 0.000 6.803
Cu 2.366 2.366 1.193
Cu 2.366 2.366 10.026
S 0.000 0.000 2.261
S 0.000 0.000 8.958
S 0.000 2.366 0.000
S 0.000 2.366 5.609
S 2.366 0.000 0.000
S 2.366 0.000 5.609
S 2.366 2.366 3.348
S 2.366 2.366 7.871
```



Density functional theory data (GGA-PBE) for an optimized crystal structure of VCuS3.

Summary:
E = -4.592 eV per atom
DOS at the Fermi energy = 5.8 states/eV/f.u.
formation energy from raw total energies = 528 meV per atom
space-group type = Pm-3m (221)

Geometry as extended XYZ:
```
5
Lattice="4.496 0.000 0.000 0.000 4.496 0.000 0.000 0.000 4.496" Properties=species:S:1:pos:R:3 pbc="T T T"
V 0.000 0.000 0.000
Cu 2.248 2.248 2.248
S 0.000 2.248 2.248
S 2.248 0.000 2.248
S 2.248 2.248 0.000
```



Density functional theory data (GGA-PBE) for an optimized crystal structure of VCu5S5.

Summary:
E = -4.750 eV per atom
DOS at the Fermi energy = 8.6 states/eV/f.u.
formation energy from raw total energies = -183 meV per atom
space-group type = C2/m (12)

Geometry as extended XYZ:
```
11
Lattice="6.202 -2.181 0.000 6.202 2.181 0.000 -2.039 0.000 6.868" Properties=species:S:1:pos:R:3 pbc="T T T"
V 0.000 0.000 0.000
Cu -1.019 0.000 3.434
Cu 3.040 0.000 1.017
Cu 2.509 0.000 5.085
Cu 7.856 0.000 1.782
Cu 7.325 0.000 5.851
S 0.989 0.000 2.306
S 0.148 0.000 5.557
S 6.202 0.000 0.000
S 10.217 0.000 1.310
S 9.377 0.000 4.561
```



Density functional theory data (GGA-PBE) for an optimized crystal structure of VCu3S6.

Summary:
E = -4.813 eV per atom
DOS at the Fermi energy = 7.2 states/eV/f.u.
formation energy from raw total energies = -196 meV per atom
space-group type = R3 (146)

Geometry as extended XYZ:
```
10
Lattice="2.974 1.717 5.463 -2.974 1.717 5.463 0.000 -3.434 5.463" Properties=species:S:1:pos:R:3 pbc="T T T"
V 0.000 0.000 0.000
Cu 0.000 0.000 3.349
Cu 0.000 0.000 8.126
Cu 0.000 0.000 11.537
S -2.115 0.174 7.187
S -0.971 -1.594 9.952
S 0.907 -1.918 7.187
S -0.895 1.638 9.952
S 1.208 1.745 7.187
S 1.866 -0.044 9.952
```



Going through the records in order, we get V values of 18.29 18.68 17.95 18.18 16.89 16.74 Å³ per atom.